## LaBr2 (GGA-PBEsol)

Data for crystalline LaBr2 at its relaxed geometry.

```
data_LaBr2
_chemical_formula_sum 'La4 Br8'
_symmetry_space_group_name_H-M 'C 1 m 1'
_symmetry_Int_Tables_number 8
_cell_length_a 14.485
_cell_length_b 3.969
_cell_length_c 8.019
_cell_angle_alpha 90.00
_cell_angle_beta 122.75
_cell_angle_gamma 90.00
loop_
_symmetry_equiv_pos_as_xyz
'x,y,z'
'x,-y,z'
'x+1/2,y+1/2,z'
'x+1/2,-y+1/2,z'
loop_
_atom_site_label
_atom_site_type_symbol
_atom_site_fract_x
_atom_site_fract_y
_atom_site_fract_z
La1 La 0.000 0.000 0.000
La2 La 0.154 0.500 0.530
Br1 Br 0.081 0.500 0.826
Br2 Br 0.229 0.000 0.344
Br3 Br 0.313 0.000 0.849
Br4 Br 0.471 0.500 0.339
```

Values from the calculation:
Energy relative to the elements, uncorrected, meV per atom: -1768